A relaxed Pu4Cu3Rh crystal. Source: Alexandria, functional GGA-PBE.

Properties
The calculation puts the formation energy at -0.034 eV per atom.

Lattice parameters (Å, degrees): 3.834 4.209 10.617 90.00 90.00 90.00
Site moments in Bohr magnetons follow the coordinates.
Element x y z (fractional)
Pu: 0.500 0.500 0.348  5.40
Cu: 0.000 0.500 0.564  0.04
Cu: 0.500 0.000 0.929  0.04
Rh: 0.500 0.500 0.080  -0.31
Cu: 0.000 0.000 0.433  0.03
Pu: 0.000 0.500 0.853  5.45
Pu: 0.000 0.000 0.144  5.27
Pu: 0.500 0.000 0.648  5.50

A relaxed Pm8P3CSe4 crystal. Source: Alexandria, functional GGA-PBE.

Properties
Its uncorrected formation energy is -1.60 eV/atom.

Lattice parameters (Å, degrees): 8.190 8.328 8.189 119.45 120.00 90.00
Element x y z (fractional)
Pm: 0.231 0.721 0.990
Pm: 0.769 0.279 0.537
Se: 0.500 0.000 0.500
Pm: 0.758 0.721 0.990
Pm: 0.242 0.279 0.010
Pm: 0.744 0.732 0.488
C: 0.000 0.500 0.000
P: 0.000 0.500 0.500
P: 0.500 0.500 0.000
Se: 0.000 0.000 0.500
Pm: 0.231 0.721 0.463
Pm: 0.769 0.279 0.010
Se: 0.000 0.000 0.000
P: 0.500 0.500 0.500
Se: 0.500 0.000 0.000
Pm: 0.256 0.268 0.512

A relaxed Na3HfPa2As6 crystal. Source: Alexandria, functional GGA-PBE.

Properties
The calculation puts the formation energy at -0.709 eV per atom.

Lattice parameters (Å, degrees): 7.180 7.180 7.273 99.54 99.54 120.05
Element x y z (fractional)
Na: 0.169 0.831 0.500
Pa: 0.334 0.666 0.000
Pa: 0.666 0.334 0.000
As: 0.251 0.251 0.785
Na: 0.831 0.169 0.500
Hf: 0.000 0.000 0.000
As: 0.749 0.749 0.215
As: 0.071 0.396 0.214
Na: 0.500 0.500 0.500
As: 0.604 0.929 0.786
As: 0.929 0.604 0.786
As: 0.396 0.071 0.214

A relaxed La2OsC crystal. Source: Alexandria, functional GGA-PBE.

Properties
The calculation puts the formation energy at -0.158 eV per atom.

Lattice parameters (Å, degrees): 3.810 3.924 7.746 104.64 104.21 90.06
Element x y z (fractional)
La: 0.880 0.888 0.759
C: 0.500 0.009 0.000
Os: 0.500 0.509 0.000
La: 0.120 0.130 0.241

A relaxed FeReHIr2 crystal. Source: Alexandria, functional GGA-PBE.

Properties
The total energy is -8.281 eV per atom.

Lattice parameters (Å, degrees): 3.870 3.870 3.856 90.00 90.00 90.00
Site moments in Bohr magnetons follow the coordinates.
Element x y z (fractional)
Ir: 0.000 0.500 0.000  0.04
Ir: 0.500 0.000 0.000  0.04
H: 0.000 0.000 0.000  -0.01
Re: 0.500 0.500 0.500  -0.15
Fe: 0.000 0.000 0.500  1.74

A relaxed CaNpPd2 crystal. Source: Alexandria, functional GGA-PBE.

Properties
The energy above the most stable polymorph in this dataset is 0.0 meV/atom. The calculation puts the formation energy at -0.347 eV per atom.

Lattice parameters (Å, degrees): 3.452 3.452 7.344 90.00 90.00 90.00
Site moments in Bohr magnetons follow the coordinates.
Element x y z (fractional)
Ca: 0.500 0.500 0.500  0.01
Np: 0.500 0.500 0.000  3.86
Pd: 0.000 0.000 0.765  -0.02
Pd: 0.000 0.000 0.235  -0.02

A relaxed NaCdGa2B crystal. Source: Alexandria, functional GGA-PBE.

Properties
The calculation puts the formation energy at 1.227 eV per atom.

Lattice parameters (Å, degrees): 5.078 5.476 5.078 90.00 90.00 90.00
Element x y z (fractional)
Cd: 0.000 0.000 0.000
Ga: 0.500 0.000 0.000
Ga: 0.000 0.000 0.500
Na: 0.000 0.500 0.000
B: 0.500 0.500 0.500

A relaxed Ac2Mg3Cd crystal. Source: Alexandria, functional GGA-PBE.

Properties
The calculation puts the formation energy at -0.187 eV per atom.

Lattice parameters (Å, degrees): 6.310 6.310 6.310 89.96 119.97 120.08
Element x y z (fractional)
Ac: 0.251 0.626 0.877
Mg: 0.500 0.000 0.500
Cd: 0.000 0.000 0.000
Mg: 0.000 0.000 0.500
Mg: 0.500 0.500 0.500
Ac: 0.749 0.374 0.123